This record from Alexandria via LeMat-Bulk describes crystalline MgV2BO6 at its relaxed geometry. The functional is PBE with a Hubbard U.

- V (Å³ per atom) = 10.9
- D(E_F) (states/eV/cell) = 8.05
- electronic total energy (Ry/atom) = -0.5472

a = 8.8541 Å, b = 10.6214 Å, c = 5.0369 Å
α = 90.00°, β = 112.91°, γ = 90.00°
With the nearest neighbours (Å) after each atom.
Space group C2/c (No. 15)
Unique sites:
Mg: 0.0000 0.0921 0.2500 [4 per cell]  6 O 2.06-2.21
V: 0.1378 0.4008 0.1409 [8 per cell]  4 O 1.87-1.98
B: 0.0000 0.1650 0.7500 [4 per cell]  4 O 1.48-1.50
O: 0.0847 0.2334 0.0241 [8 per cell]  1 B 1.48
O: 0.1175 0.4299 0.5031 [8 per cell]  3 V 1.91-2.11
O: 0.1204 0.0815 0.6919 [8 per cell]  1 B 1.50